[1]
VASP calculation (meta-GGA SCAN) on CsRb3Cd at its PBEsol-relaxed geometry.

```
CsRb3Cd
1.0
7.229 0.000 0.000
0.000 7.229 0.000
0.000 0.000 7.229
Cs Rb Cd
1 3 1
Direct
0.000 0.000 0.000
0.000 0.500 0.500
0.500 0.000 0.500
0.500 0.500 0.000
0.500 0.500 0.500
```

Computed properties:
Final energy = -1.916 Ry/atom
Polymorph energy (0 for the lowest one) = 0 meV/atom
Space group = Pm-3m, No. 221
Crystal system = cubic
V = 378 Å³ per cell
Total magnetic moment = 0.0 μB/cell
ΔE_f = 0.02 eV per atom

***

[2]
VASP calculation (meta-GGA SCAN) on GdLuO3 at its PBEsol-relaxed geometry.

```
GdLuO3
1.0
5.849 0.000 0.000
0.000 8.166 0.000
0.000 0.000 5.583
Gd Lu O
4 4 12
Direct
0.057 0.250 0.020
0.443 0.750 0.520
0.557 0.250 0.480
0.943 0.750 0.980
0.000 0.000 0.500
0.000 0.500 0.500
0.500 0.000 0.000
0.500 0.500 0.000
0.066 0.750 0.361
0.193 0.574 0.811
0.193 0.926 0.811
0.307 0.074 0.311
0.307 0.426 0.311
0.434 0.250 0.861
0.566 0.750 0.139
0.693 0.574 0.689
0.693 0.926 0.689
0.807 0.074 0.189
0.807 0.426 0.189
0.934 0.250 0.639
```

Computed properties:
Final energy = -2.237 Ry/atom
Space group = Pnma, No. 62
Crystal system = orthorhombic
V = 267 Å³ per cell
Total magnetic moment = 27.9 μB/cell
Raw formation energy = -3.86 eV/atom